[1]
Entry from Alexandria: a relaxed structure of K2ScOs (PBE).

Unit cell a=5.165 b=5.165 c=5.165 alpha=120.02 beta=120.02 gamma=89.97
Element x y z (fractional)
1 K 0.000 0.000 0.000
2 K 0.250 0.750 0.500
3 Os 0.500 0.500 0.000
4 Sc 0.750 0.250 0.500

Output
Formation energy from the elements ... 1.083 eV/atom
Space group ... F-43m (216)
Excess energy over the best structure of this formula in the dataset ... 633 meV per atom
D(E_F) ... 3.4 states/eV/f.u.


[2]
Entry from Alexandria: a relaxed structure of KScOs2 (PBE).

Unit cell a=5.195 b=5.692 c=2.761 alpha=78.82 beta=83.88 gamma=115.50
Element x y z (fractional)
1 K 0.500 0.500 0.000
2 Os 0.000 0.000 0.000
3 Os 0.500 0.000 0.500
4 Sc 0.000 0.500 0.500

Output
Formation energy from the elements ... 1.037 eV/atom
Space group ... C2/m (12)
Excess energy over the best structure of this formula in the dataset ... 538 meV per atom
D(E_F) ... 4.2 states/eV/f.u.


[3]
Entry from Alexandria: a relaxed structure of KScOs2 (PBE).

Unit cell a=2.839 b=4.343 c=7.489 alpha=90.00 beta=90.00 gamma=90.00
Element x y z (fractional)
1 K 0.500 0.500 0.750
2 Os 0.000 0.000 0.092
3 Os 0.000 0.000 0.408
4 Sc 0.500 0.500 0.250

Output
Formation energy from the elements ... 0.659 eV/atom
Space group ... Pmmm (47)
Excess energy over the best structure of this formula in the dataset ... 161 meV per atom
D(E_F) ... 3.4 states/eV/f.u.


> The lowest formation energy from the elements belongs to which entry?

number 3


> Which formula does entry 1 have?

K2ScOs